TbCr2ReO8 | PBE+U | optimized geometry

Cell: 4.731 4.727 6.391 Å, 90.00 90.00 89.48°
Fractional positions:
O  0.802  0.199  0.789
O  0.711  0.712  0.000
O  0.324  0.323  0.500
O  0.802  0.199  0.211
O  0.198  0.801  0.211
O  0.198  0.801  0.789
O  0.676  0.677  0.500
O  0.289  0.288  0.000
Cr  0.500  0.500  0.747
Cr  0.500  0.500  0.253
Tb  0.000  0.000  0.500
Re  0.000  0.000  0.000

Output
The uncorrected energy is -8.03 eV per atom. As for the crystal system: orthorhombic.